Entry 1:
# Tl3CoAu SCAN single point on PBEsol structure
# E   -4.4103 Ry/atom
# M_tot   0.414 μB per atom
# V   152.6 Å³ per cell
# Formation energy   703 meV per atom
data_Tl3CoAu
_space_group_name_H-M_alt 'P m -3 m'
_space_group_IT_number 221
_space_group_name_Hall '-P 4 2 3'
_cell_length_a 5.344
_cell_length_b 5.344
_cell_length_c 5.344
_cell_angle_alpha 90.00
_cell_angle_beta 90.00
_cell_angle_gamma 90.00
loop_
_atom_site_label
_atom_site_type_symbol
_atom_site_fract_x
_atom_site_fract_y
_atom_site_fract_z
Tl1 Tl 0.000 0.000 0.500
Co1 Co 0.500 0.500 0.500
Au1 Au 0.000 0.000 0.000

---

Entry 2:
# EuHfS3 SCAN single point on PBEsol structure
# E   -2.2857 Ry/atom
# Energy relative to the elements, uncorrected   -2045 meV/atom
# M_tot   1.399 μB per atom
# V   431.6 Å³ per cell
data_EuHfS3
_space_group_name_H-M_alt 'P n m a'
_space_group_IT_number 62
_cell_length_a 7.035
_cell_length_b 9.506
_cell_length_c 6.454
_cell_angle_alpha 90.00
_cell_angle_beta 90.00
_cell_angle_gamma 90.00
loop_
_space_group_symop_operation_xyz
'x,y,z'
'-x,-y,-z'
'-x+1/2,-y,z+1/2'
'x+1/2,y,-z+1/2'
'x+1/2,-y+1/2,-z+1/2'
'-x+1/2,y+1/2,z+1/2'
'-x,y+1/2,-z'
'x,-y+1/2,z'
loop_
_atom_site_label
_atom_site_type_symbol
_atom_site_fract_x
_atom_site_fract_y
_atom_site_fract_z
Eu1 Eu 0.097 0.250 0.036
Hf1 Hf 0.000 0.000 0.500
S1 S 0.023 0.750 0.387
S2 S 0.190 0.556 0.820

---

Entry 3:
# SrSeBr SCAN single point on PBEsol structure
# E   -1.6188 Ry/atom
# Energy relative to the elements, uncorrected   -1421 meV/atom
# M_tot   0.000 μB per atom
# V   177.9 Å³ per cell
data_SrSeBr
_space_group_name_H-M_alt 'I 4 m m'
_space_group_IT_number 107
_space_group_name_Hall 'I 4 -2'
_cell_length_a 3.602
_cell_length_b 3.602
_cell_length_c 13.707
_cell_angle_alpha 90.00
_cell_angle_beta 90.00
_cell_angle_gamma 90.00
loop_
_atom_site_label
_atom_site_type_symbol
_atom_site_fract_x
_atom_site_fract_y
_atom_site_fract_z
Sr1 Sr 0.000 0.000 0.000
Se1 Se 0.000 0.000 0.352
Br1 Br 0.000 0.000 0.625

---

Entry 4:
# LiLaCd4 SCAN single point on PBEsol structure
# E   -2.0690 Ry/atom
# M_tot   0.000 μB per atom
# V   563.1 Å³ per cell
# Formation energy   -292 meV per atom
data_LiLaCd4
_space_group_name_H-M_alt 'F -4 3 m'
_space_group_IT_number 216
_space_group_name_Hall 'F -4 2 3'
_cell_length_a 8.258
_cell_length_b 8.258
_cell_length_c 8.258
_cell_angle_alpha 90.00
_cell_angle_beta 90.00
_cell_angle_gamma 90.00
loop_
_atom_site_label
_atom_site_type_symbol
_atom_site_fract_x
_atom_site_fract_y
_atom_site_fract_z
Li1 Li 0.000 0.000 0.000
La1 La 0.250 0.250 0.750
Cd1 Cd 0.125 0.125 0.375

---

Entry 5:
# Nb3WSe8 SCAN single point on PBEsol structure
# E   -2.0794 Ry/atom
# Energy relative to the elements, uncorrected   -816 meV/atom
# M_tot   0.086 μB per atom
# V   500.5 Å³ per cell
data_Nb3WSe8
_space_group_name_H-M_alt 'C 1 m 1'
_space_group_IT_number 8
_cell_length_a 12.742
_cell_length_b 3.384
_cell_length_c 11.744
_cell_angle_alpha 90.00
_cell_angle_beta 98.75
_cell_angle_gamma 90.00
loop_
_space_group_symop_operation_xyz
'x,y,z'
'x,-y,z'
'x+1/2,y+1/2,z'
'x+1/2,-y+1/2,z'
loop_
_atom_site_label
_atom_site_type_symbol
_atom_site_fract_x
_atom_site_fract_y
_atom_site_fract_z
Nb1 Nb 0.000 0.000 0.000
Nb2 Nb 0.000 0.500 0.256
Nb3 Nb 0.002 0.500 0.740
W1 W 0.001 0.000 0.500
Se1 Se 0.133 0.000 0.853
Se2 Se 0.133 0.500 0.108
Se3 Se 0.134 0.000 0.359
Se4 Se 0.135 0.500 0.599
Se5 Se 0.366 0.500 0.316
Se6 Se 0.367 0.000 0.064
Se7 Se 0.368 0.000 0.555
Se8 Se 0.370 0.500 0.809

---

Entry 6:
# HfCdP2S SCAN single point on PBEsol structure
# Distance to the lowest polymorph of the same formula   952 meV per atom
# E   -1.7430 Ry/atom
# Energy relative to the elements, uncorrected   988 meV/atom
# M_tot   0.000 μB per atom
# V   106.7 Å³ per cell
data_HfCdP2S
_space_group_name_H-M_alt 'P 4/m m m'
_space_group_IT_number 123
_space_group_name_Hall '-P 4 2'
_cell_length_a 4.742
_cell_length_b 4.742
_cell_length_c 4.744
_cell_angle_alpha 90.00
_cell_angle_beta 90.00
_cell_angle_gamma 90.00
loop_
_atom_site_label
_atom_site_type_symbol
_atom_site_fract_x
_atom_site_fract_y
_atom_site_fract_z
Hf1 Hf 0.000 0.000 0.000
Cd1 Cd 0.500 0.500 0.500
P1 P 0.000 0.500 0.500
S1 S 0.500 0.500 0.000

---

Entry 7:
# LiHfMg3 SCAN single point on PBEsol structure
# E   -1.1387 Ry/atom
# M_tot   0.000 μB per atom
# V   99.5 Å³ per cell
# Formation energy   504 meV per atom
data_LiHfMg3
_space_group_name_H-M_alt 'P m -3 m'
_space_group_IT_number 221
_space_group_name_Hall '-P 4 2 3'
_cell_length_a 4.633
_cell_length_b 4.633
_cell_length_c 4.633
_cell_angle_alpha 90.00
_cell_angle_beta 90.00
_cell_angle_gamma 90.00
loop_
_atom_site_label
_atom_site_type_symbol
_atom_site_fract_x
_atom_site_fract_y
_atom_site_fract_z
Li1 Li 0.000 0.000 0.000
Hf1 Hf 0.500 0.500 0.500
Mg1 Mg 0.000 0.000 0.500

---

Entry 8:
# Li2PmSn SCAN single point on PBEsol structure
# E   -1.5938 Ry/atom
# M_tot   0.001 μB per atom
# V   313.8 Å³ per cell
# Formation energy   -513 meV per atom
data_Li2PmSn
_space_group_name_H-M_alt 'F m -3 m'
_space_group_IT_number 225
_space_group_name_Hall '-F 4 2 3'
_cell_length_a 6.795
_cell_length_b 6.795
_cell_length_c 6.795
_cell_angle_alpha 90.00
_cell_angle_beta 90.00
_cell_angle_gamma 90.00
loop_
_atom_site_label
_atom_site_type_symbol
_atom_site_fract_x
_atom_site_fract_y
_atom_site_fract_z
Li1 Li 0.250 0.250 0.250
Pm1 Pm 0.000 0.000 0.000
Sn1 Sn 0.000 0.000 0.500

---

Entry 9:
# Pr SCAN single point on PBEsol structure
# Distance to the lowest polymorph of the same formula   30 meV per atom
# E   -3.1822 Ry/atom
# M_tot   0.032 μB per atom
# V   68.1 Å³ per cell
# Formation energy   30 meV per atom
data_Pr
_space_group_name_H-M_alt 'P 63/m m c'
_space_group_IT_number 194
_space_group_name_Hall '-P 6c 2c'
_cell_length_a 3.6339
_cell_length_b 3.6339
_cell_length_c 5.9527
_cell_angle_alpha 90.00
_cell_angle_beta 90.00
_cell_angle_gamma 120.00
loop_
_atom_site_label
_atom_site_type_symbol
_atom_site_fract_x
_atom_site_fract_y
_atom_site_fract_z
Pr1 Pr 0.3333 0.6667 0.2500

---

Entry 10:
# Ta2MoW SCAN single point on PBEsol structure
# E   -4.3751 Ry/atom
# M_tot   0.000 μB per atom
# V   261.8 Å³ per cell
# Formation energy   -92 meV per atom
data_Ta2MoW
_space_group_name_H-M_alt 'F -4 3 m'
_space_group_IT_number 216
_space_group_name_Hall 'F -4 2 3'
_cell_length_a 6.397
_cell_length_b 6.397
_cell_length_c 6.397
_cell_angle_alpha 90.00
_cell_angle_beta 90.00
_cell_angle_gamma 90.00
loop_
_atom_site_label
_atom_site_type_symbol
_atom_site_fract_x
_atom_site_fract_y
_atom_site_fract_z
Ta1 Ta 0.000 0.000 0.000
Ta2 Ta 0.250 0.250 0.250
Mo1 Mo 0.250 0.250 0.750
W1 W 0.000 0.000 0.500

---

Entry 11:
# SrMoSe SCAN single point on PBEsol structure
# E   -1.8562 Ry/atom
# Energy relative to the elements, uncorrected   491 meV/atom
# M_tot   1.364 μB per atom
# V   303.2 Å³ per cell
data_SrMoSe
_space_group_name_H-M_alt 'F -4 3 m'
_space_group_IT_number 216
_space_group_name_Hall 'F -4 2 3'
_cell_length_a 6.718
_cell_length_b 6.718
_cell_length_c 6.718
_cell_angle_alpha 90.00
_cell_angle_beta 90.00
_cell_angle_gamma 90.00
loop_
_atom_site_label
_atom_site_type_symbol
_atom_site_fract_x
_atom_site_fract_y
_atom_site_fract_z
Sr1 Sr 0.000 0.000 0.000
Mo1 Mo 0.250 0.250 0.750
Se1 Se 0.000 0.000 0.500

---

Entry 12:
# Co2AgRh SCAN single point on PBEsol structure
# E   -1.8151 Ry/atom
# M_tot   1.141 μB per atom
# V   102.1 Å³ per cell
# Formation energy   241 meV per atom
data_Co2AgRh
_space_group_name_H-M_alt 'C m m m'
_space_group_IT_number 65
_space_group_name_Hall '-C 2 2'
_cell_length_a 5.318
_cell_length_b 7.260
_cell_length_c 2.644
_cell_angle_alpha 90.00
_cell_angle_beta 90.00
_cell_angle_gamma 90.00
loop_
_atom_site_label
_atom_site_type_symbol
_atom_site_fract_x
_atom_site_fract_y
_atom_site_fract_z
Co1 Co 0.250 0.250 0.000
Ag1 Ag 0.000 0.000 0.500
Rh1 Rh 0.000 0.500 0.500

---

Entry 13:
# KLiTa2 SCAN single point on PBEsol structure
# Distance to the lowest polymorph of the same formula   253 meV per atom
# E   -2.5728 Ry/atom
# M_tot   0.000 μB per atom
# V   169.3 Å³ per cell
# Formation energy   967 meV per atom
data_KLiTa2
_space_group_name_H-M_alt 'C 1 2/m 1'
_space_group_IT_number 12
_cell_length_a 5.289
_cell_length_b 12.105
_cell_length_c 2.897
_cell_angle_alpha 90.00
_cell_angle_beta 114.07
_cell_angle_gamma 90.00
loop_
_space_group_symop_operation_xyz
'x,y,z'
'-x,-y,-z'
'-x,y,-z'
'x,-y,z'
'x+1/2,y+1/2,z'
'-x+1/2,-y+1/2,-z'
'-x+1/2,y+1/2,-z'
'x+1/2,-y+1/2,z'
loop_
_atom_site_label
_atom_site_type_symbol
_atom_site_fract_x
_atom_site_fract_y
_atom_site_fract_z
K1 K 0.000 0.000 0.000
Li1 Li 0.000 0.500 0.000
Ta1 Ta 0.250 0.250 0.500